Entry from the Alexandria database: a geometry-optimized PmNpCo2 structure (PBE).

Structure (POSCAR):
```
PmNpCo2
1.0
3.271 0.000 0.000
0.000 3.271 0.000
0.000 0.000 6.987
Np Co Pm
1 2 1
direct
0.500 0.500 0.000
0.000 0.000 0.802
0.000 0.000 0.198
0.500 0.500 0.500
```

Calculated values
symmetry	P4/mmm
total DFT energy (no corrections)	-31.6	eV for the cell shown
E above lowest polymorph	59	kJ/mol of formula units



Entry from the Alexandria database: a geometry-optimized PmNpCoSb structure (PBE).

Structure (POSCAR):
```
PmNpCoSb
1.0
-2.998 3.827 -1.195
-3.229 -0.442 -3.799
-4.913 -0.290 0.912
Sb Np Pm Co
1 1 1 1
direct
0.250 0.250 0.250
0.500 0.500 0.500
0.750 0.750 0.750
0.000 0.000 0.000
```

Calculated values
E_form (uncorrected)	361	meV/atom
symmetry	F-43m
total DFT energy (no corrections)	-27.5	eV for the cell shown



Entry from the Alexandria database: a geometry-optimized PrNp2Co9 structure (PBE).

Structure (POSCAR):
```
PrNp2Co9
1.0
0.022 2.775 8.077
-3.917 0.020 7.590
0.399 -2.037 8.285
Co Pr Np
9 1 2
direct
0.667 0.667 0.667
0.500 0.500 0.500
0.584 0.085 0.584
0.584 0.584 0.085
0.333 0.333 0.333
0.085 0.584 0.584
0.416 0.915 0.416
0.416 0.416 0.915
0.915 0.416 0.416
0.000 0.000 0.000
0.856 0.856 0.856
0.144 0.144 0.144
```

Calculated values
symmetry	R-3m
total DFT energy (no corrections)	-94.3	eV for the cell shown



Entry from the Alexandria database: a geometry-optimized PrNpCo2 structure (PBE).

Structure (POSCAR):
```
PrNpCo2
1.0
-2.398 -1.652 -1.685
-0.879 -3.108 0.940
-7.153 1.748 5.108
Co Np Pr
2 1 1
direct
0.107 0.107 0.678
0.893 0.893 0.322
0.500 0.500 0.500
0.000 0.000 0.000
```

Calculated values
symmetry	R-3m
total DFT energy (no corrections)	-29.5	eV for the cell shown



Entry from the Alexandria database: a geometry-optimized Pr4NpCo5 structure (PBE).

Structure (POSCAR):
```
Pr4NpCo5
1.0
4.659 0.002 1.654
2.332 6.566 0.827
0.136 0.000 7.015
Pr Np Co
4 1 5
direct
0.770 0.710 0.710
0.189 0.290 0.290
0.479 0.710 0.290
0.479 0.290 0.710
0.089 0.000 0.000
0.804 0.334 0.000
0.599 0.000 0.000
0.138 0.999 0.667
0.804 0.000 0.334
0.138 0.667 0.999
```

Calculated values
symmetry	Imm2
total DFT energy (no corrections)	-66.8	eV for the cell shown



Entry from the Alexandria database: a geometry-optimized NpCo2Pt structure (PBE).

Structure (POSCAR):
```
NpCo2Pt
1.0
-0.815 -1.869 3.066
2.574 -2.908 -1.088
2.974 1.902 1.950
Co Pt Np
2 1 1
direct
0.000 0.500 0.000
0.000 0.000 0.500
0.500 0.000 0.000
0.500 0.500 0.500
```

Calculated values
symmetry	P4/mmm
total DFT energy (no corrections)	-34.0	eV for the cell shown



Entry from the Alexandria database: a geometry-optimized Np2CoPt9 structure (PBE).

Structure (POSCAR):
```
Np2CoPt9
1.0
-3.639 -1.140 -1.444
1.488 -3.706 -0.825
-3.229 -3.774 11.121
Co Pt Np
1 9 2
direct
0.000 0.000 0.000
0.000 0.500 0.846
0.500 0.000 0.500
0.500 0.500 0.327
0.500 0.500 0.673
0.500 0.000 0.154
0.500 0.500 0.000
0.000 0.500 0.500
0.000 0.500 0.154
0.500 0.000 0.846
0.000 0.000 0.675
0.000 0.000 0.325
```

Calculated values
symmetry	P4/mmm
total DFT energy (no corrections)	-92.0	eV for the cell shown



Entry from the Alexandria database: a geometry-optimized NpCo4Pt structure (PBE).

Structure (POSCAR):
```
NpCo4Pt
1.0
-2.081 -4.231 -1.269
0.162 -1.505 -4.643
2.784 -3.817 -1.233
Co Pt Np
4 1 1
direct
0.626 0.626 0.626
0.626 0.122 0.626
0.122 0.626 0.626
0.626 0.626 0.122
0.000 0.000 0.000
0.250 0.250 0.250
```

Calculated values
symmetry	F-43m
total DFT energy (no corrections)	-48.3	eV for the cell shown



Entry from the Alexandria database: a geometry-optimized PuNpCoPt structure (PBE).

Structure (POSCAR):
```
PuNpCoPt
1.0
4.528 0.000 0.000
2.264 3.921 0.000
2.264 1.307 3.697
Np Pu Co Pt
1 1 1 1
direct
0.750 0.750 0.750
0.000 0.000 0.000
0.500 0.500 0.500
0.250 0.250 0.250
```

Calculated values
symmetry	F-43m
total DFT energy (no corrections)	-41.7	eV for the cell shown



Entry from the Alexandria database: a geometry-optimized Np2CoSi3Pt4 structure (PBE).

Structure (POSCAR):
```
Np2CoSi3Pt4
1.0
-2.133 -2.784 -2.186
-1.084 -1.916 3.498
-8.303 5.859 0.637
Si Pt Co Np
3 4 1 2
direct
0.500 0.000 0.866
0.000 0.500 0.134
0.000 0.000 0.500
0.500 0.000 0.634
0.000 0.000 0.000
0.000 0.500 0.366
0.500 0.500 0.000
0.500 0.500 0.500
0.500 0.000 0.259
0.000 0.500 0.741
```

Calculated values
E_form (uncorrected)	-602	meV/atom
symmetry	P-4m2
total DFT energy (no corrections)	-79.4	eV for the cell shown



Entry from the Alexandria database: a geometry-optimized NpCoSnPt structure (PBE).

Structure (POSCAR):
```
NpCoSnPt
1.0
-3.860 2.641 -0.660
-2.972 0.777 3.588
-0.283 4.295 1.944
Sn Np Co Pt
1 1 1 1
direct
0.500 0.500 0.500
0.000 0.000 0.000
0.750 0.750 0.750
0.250 0.250 0.250
```

Calculated values
symmetry	F-43m
total DFT energy (no corrections)	-30.9	eV for the cell shown



Entry from the Alexandria database: a geometry-optimized NpUCoPt structure (PBE).

Structure (POSCAR):
```
NpUCoPt
1.0
4.572 0.000 0.000
2.286 3.960 0.000
2.286 1.320 3.733
Np Pt Co U
1 1 1 1
direct
0.500 0.500 0.500
0.750 0.750 0.750
0.000 0.000 0.000
0.250 0.250 0.250
```

Calculated values
symmetry	F-43m
total DFT energy (no corrections)	-39.1	eV for the cell shown



Entry from the Alexandria database: a geometry-optimized NpZnCoPt structure (PBE).

Structure (POSCAR):
```
NpZnCoPt
1.0
4.578 0.000 0.000
2.289 3.965 0.000
2.289 1.322 3.738
Zn Co Np Pt
1 1 1 1
direct
0.000 0.000 0.000
0.250 0.250 0.250
0.500 0.500 0.500
0.750 0.750 0.750
```

Calculated values
symmetry	F-43m
total DFT energy (no corrections)	-28.1	eV for the cell shown



Entry from the Alexandria database: a geometry-optimized PuNpCo4 structure (PBE).

Structure (POSCAR):
```
PuNpCo4
1.0
-2.877 3.359 -2.260
-4.292 -1.398 -2.071
-4.310 1.364 2.057
Co Pu Np
4 1 1
direct
0.624 0.624 0.127
0.624 0.127 0.624
0.624 0.624 0.624
0.127 0.624 0.624
0.000 0.000 0.000
0.250 0.250 0.250
```

Calculated values
symmetry	F-43m
total DFT energy (no corrections)	-56.3	eV for the cell shown



Entry from the Alexandria database: a geometry-optimized Pu2NpCo structure (PBE).

Structure (POSCAR):
```
Pu2NpCo
1.0
-1.171 -4.129 -1.130
2.812 -3.367 0.674
-0.969 -3.049 3.429
Pu Co Np
2 1 1
direct
0.255 0.255 0.235
0.745 0.745 0.765
0.500 0.500 0.500
0.000 0.000 0.000
```

Calculated values
symmetry	R-3m
total DFT energy (no corrections)	-48.0	eV for the cell shown



Entry from the Alexandria database: a geometry-optimized Pu2NpCo9 structure (PBE).

Structure (POSCAR):
```
Pu2NpCo9
1.0
4.620 0.000 1.375
2.105 4.112 1.375
-0.081 -0.049 8.720
Co Pu Np
9 2 1
direct
0.333 0.333 0.000
0.500 0.500 0.500
0.418 0.918 0.247
0.082 0.582 0.753
0.582 0.082 0.753
0.582 0.582 0.753
0.918 0.418 0.247
0.418 0.418 0.247
0.667 0.667 0.000
0.139 0.139 0.583
0.861 0.861 0.417
0.000 0.000 0.000
```

Calculated values
symmetry	R-3m
total DFT energy (no corrections)	-105.9	eV for the cell shown



Entry from the Alexandria database: a geometry-optimized PuNpZnCo structure (PBE).

Structure (POSCAR):
```
PuNpZnCo
1.0
-3.430 -1.639 -2.448
0.322 -4.098 -1.883
-2.485 -3.423 1.597
Pu Zn Co Np
1 1 1 1
direct
0.500 0.500 0.500
0.750 0.750 0.750
0.000 0.000 0.000
0.250 0.250 0.250
```

Calculated values
symmetry	F-43m
total DFT energy (no corrections)	-35.1	eV for the cell shown



Entry from the Alexandria database: a geometry-optimized Rb2NpCoS4 structure (PBE).

Structure (POSCAR):
```
Rb2NpCoS4
1.0
-2.609 2.071 -5.163
-0.891 -5.450 -5.392
-12.481 -1.657 1.986
S Np Rb Co
8 2 4 2
direct
0.334 0.802 0.098
0.864 0.802 0.902
0.567 0.198 0.098
0.235 0.198 0.902
0.515 0.302 0.598
0.886 0.698 0.598
0.183 0.302 0.402
0.416 0.698 0.402
0.000 0.000 0.000
0.750 0.500 0.500
0.930 0.500 0.140
0.820 0.000 0.360
0.180 0.000 0.640
0.570 0.500 0.860
0.500 0.000 0.000
0.250 0.500 0.500
```

Calculated values
E_form (uncorrected)	-820	meV/atom
symmetry	Fddd
total DFT energy (no corrections)	-90.1	eV for the cell shown



Entry from the Alexandria database: a geometry-optimized RbNpCoS3 structure (PBE).

Structure (POSCAR):
```
RbNpCoS3
1.0
3.887 0.000 0.000
0.000 9.085 0.543
0.000 -3.792 8.476
Co S Rb Np
2 6 2 2
direct
0.250 0.081 0.592
0.750 0.919 0.408
0.250 0.826 0.465
0.750 0.874 0.150
0.750 0.464 0.154
0.250 0.126 0.850
0.250 0.536 0.846
0.750 0.174 0.535
0.250 0.202 0.240
0.750 0.798 0.760
0.750 0.323 0.841
0.250 0.677 0.159
```

Calculated values
E_form (uncorrected)	-1081	meV/atom
symmetry	P2_1/m
total DFT energy (no corrections)	-79.8	eV for the cell shown



Entry from the Alexandria database: a geometry-optimized Rb2Np2CoS6 structure (PBE).

Structure (POSCAR):
```
Rb2Np2CoS6
1.0
6.538 0.012 0.052
-3.221 5.689 0.052
-1.189 -2.043 7.875
Rb S Np Co
2 6 2 1
direct
0.831 0.169 0.000
0.169 0.831 0.000
0.374 0.063 0.680
0.063 0.374 0.680
0.937 0.626 0.320
0.245 0.245 0.324
0.626 0.937 0.320
0.755 0.755 0.676
0.667 0.333 0.500
0.333 0.667 0.500
0.000 0.000 0.500
```

Calculated values
E_form (uncorrected)	-1057	meV/atom
symmetry	C2/m
total DFT energy (no corrections)	-71.3	eV for the cell shown



Entry from the Alexandria database: a geometry-optimized Rb2NpCo2S4 structure (PBE).

Structure (POSCAR):
```
Rb2NpCo2S4
1.0
-3.000 2.413 0.049
-2.949 -6.745 0.326
1.892 2.204 7.359
S Rb Co Np
4 2 2 1
direct
0.473 0.946 0.220
0.199 0.399 0.156
0.801 0.601 0.844
0.527 0.054 0.780
0.136 0.271 0.556
0.864 0.729 0.444
0.316 0.633 0.013
0.684 0.367 0.987
0.000 0.000 0.000
```

Calculated values
E_form (uncorrected)	-947	meV/atom
symmetry	C2/m
total DFT energy (no corrections)	-54.1	eV for the cell shown



Entry from the Alexandria database: a geometry-optimized RbNp2CoS4 structure (PBE).

Structure (POSCAR):
```
RbNp2CoS4
1.0
-3.833 0.660 0.433
0.773 -2.796 -6.587
-1.557 -12.368 5.067
Co S Np Rb
2 8 4 2
direct
0.829 0.657 0.750
0.171 0.343 0.250
0.259 0.518 0.389
0.000 0.000 0.000
0.741 0.482 0.611
0.259 0.518 0.111
0.414 0.828 0.750
0.586 0.172 0.250
0.000 0.000 0.500
0.741 0.482 0.889
0.634 0.269 0.058
0.366 0.731 0.558
0.634 0.269 0.442
0.366 0.731 0.942
0.900 0.800 0.250
0.100 0.200 0.750
```

Calculated values
E_form (uncorrected)	-1220	meV/atom
symmetry	Cmcm
total DFT energy (no corrections)	-120.5	eV for the cell shown



Entry from the Alexandria database: a geometry-optimized RbNpCoS4 structure (PBE).

Structure (POSCAR):
```
RbNpCoS4
1.0
6.337 0.000 -0.121
0.000 6.024 0.000
-2.640 0.000 8.795
S Rb Co Np
8 2 2 2
direct
0.018 0.991 0.698
0.565 0.250 0.811
0.421 0.750 0.574
0.018 0.509 0.698
0.982 0.009 0.302
0.982 0.491 0.302
0.579 0.250 0.426
0.435 0.750 0.189
0.741 0.750 0.944
0.259 0.250 0.056
0.225 0.750 0.336
0.775 0.250 0.664
0.246 0.250 0.550
0.754 0.750 0.450
```

Calculated values
E_form (uncorrected)	-917	meV/atom
symmetry	P2_1/m
total DFT energy (no corrections)	-87.9	eV for the cell shown



Entry from the Alexandria database: a geometry-optimized Rb3Np2CoSe6 structure (PBE).

Structure (POSCAR):
```
Rb3Np2CoSe6
1.0
-5.422 2.719 -3.837
-1.092 -2.075 6.783
4.042 7.083 1.549
Se Rb Np Co
6 3 2 1
direct
0.383 0.062 0.187
0.062 0.383 0.187
0.741 0.741 0.188
0.617 0.938 0.813
0.259 0.259 0.812
0.938 0.617 0.813
0.168 0.832 0.500
0.832 0.168 0.500
0.500 0.500 0.500
0.667 0.333 0.000
0.333 0.667 0.000
0.000 0.000 0.000
```

Calculated values
E_form (uncorrected)	-953	meV/atom
symmetry	C2/m
total DFT energy (no corrections)	-68.2	eV for the cell shown